Entry 1:
VASP calculation (PBE-GGA) on an optimized crystal structure of SmHfZn2.

Values from the calculation:
**DOS(E_F)**: 3.27 states/eV/cell
**ΔH_f (0 K)**: 0.01 eV per atom

Cell: 9.119 9.119 9.119 Å, 21.53 21.53 21.53°
Fractional coordinates of all 4 atoms:
1 Sm 0.000 0.000 0.000
2 Hf 0.500 0.500 0.500
3 Zn 0.243 0.243 0.243
4 Zn 0.757 0.757 0.757


Entry 2:
VASP calculation (PBE-GGA) on an optimized crystal structure of Y4TcI5.

Values from the calculation:
**Formation energy without anion corrections**: -0.957 eV/atom
**DOS(E_F)**: 4.76 states/eV/cell

Cell: 9.952 9.952 9.484 Å, 103.40 103.40 23.18°
Fractional coordinates of all 10 atoms:
1 Y 0.000 0.000 0.223
2 Y 0.000 0.000 0.777
3 Y 0.365 0.365 0.931
4 Y 0.635 0.635 0.069
5 Tc 0.500 0.500 0.000
6 I 0.167 0.167 0.329
7 I 0.172 0.172 0.840
8 I 0.500 0.500 0.500
9 I 0.828 0.828 0.160
10 I 0.833 0.833 0.671


Entry 3:
VASP calculation (PBE-GGA) on an optimized crystal structure of MnCu2Ni2.

Values from the calculation:
**DOS(E_F)**: 15.52 states/eV/cell
**ΔH_f (0 K)**: 0.42 eV per atom

Cell: 6.843 6.843 2.505 Å, 90.00 90.00 90.00°
Fractional coordinates of all 10 atoms:
1 Mn 0.000 0.000 0.000
2 Mn 0.500 0.500 0.000
3 Cu 0.173 0.327 0.500
4 Cu 0.327 0.827 0.500
5 Cu 0.673 0.173 0.500
6 Cu 0.827 0.673 0.500
7 Ni 0.125 0.625 0.000
8 Ni 0.375 0.125 0.000
9 Ni 0.625 0.875 0.000
10 Ni 0.875 0.375 0.000


Entry 4:
VASP calculation (PBE-GGA) on an optimized crystal structure of TbThP2.

Values from the calculation:
**DOS(E_F)**: 2.62 states/eV/cell
**ΔH_f (0 K)**: -1.41 eV per atom

Cell: 7.346 7.346 7.346 Å, 31.94 31.94 31.94°
Fractional coordinates of all 4 atoms:
1 Tb 0.000 0.000 0.000
2 Th 0.826 0.826 0.826
3 P 0.246 0.246 0.246
4 P 0.411 0.411 0.411


Entry 5:
VASP calculation (PBE-GGA) on an optimized crystal structure of PmY2Tc.

Values from the calculation:
**DOS(E_F)**: 6.33 states/eV/cell
**ΔH_f (0 K)**: 0.65 eV per atom

Cell: 11.273 11.273 11.273 Å, 17.31 17.31 17.31°
Fractional coordinates of all 4 atoms:
1 Pm 0.000 0.000 0.000
2 Y 0.424 0.424 0.424
3 Y 0.576 0.576 0.576
4 Tc 0.500 0.500 0.500


Entry 6:
VASP calculation (PBE-GGA) on an optimized crystal structure of SrMnSi2S6.

Values from the calculation:
**Formation energy without anion corrections**: -0.855 eV/atom
**DOS(E_F)**: 0.00 states/eV/cell

Cell: 8.881 8.881 6.624 Å, 103.38 103.38 90.18°
Fractional coordinates of all 20 atoms:
1 Sr 0.121 0.879 0.750
2 Sr 0.879 0.121 0.250
3 Mn 0.236 0.764 0.250
4 Mn 0.764 0.236 0.750
5 Si 0.226 0.374 0.797
6 Si 0.374 0.226 0.297
7 Si 0.626 0.774 0.703
8 Si 0.774 0.626 0.203
9 S 0.037 0.203 0.703
10 S 0.148 0.595 0.912
11 S 0.203 0.037 0.203
12 S 0.305 0.416 0.522
13 S 0.405 0.852 0.588
14 S 0.416 0.305 0.022
15 S 0.584 0.695 0.978
16 S 0.595 0.148 0.412
17 S 0.695 0.584 0.478
18 S 0.797 0.963 0.797
19 S 0.852 0.405 0.088
20 S 0.963 0.797 0.297